(P)
This record from Alexandria via LeMat-Bulk describes a geometry-optimized LiTaTc structure. The functional is PBE.

The space group is Imm2 (No. 44) and the conventional cell measures 2.618, 4.374 and 8.074 Å, with angles of 90.00, 90.00 and 90.00 degrees. The inequivalent atoms are Li at (0.000, 0.000, 0.000), Ta at (0.000, 0.000, 0.332) and Tc at (0.000, 0.000, 0.666).

Its spin magnetization is 0.00 μB/f.u.

=====

(Q)
This record from Alexandria via LeMat-Bulk describes a geometry-optimized LiTaTc structure. The functional is PBE.

The space group is Fmm2 (No. 42) and the conventional cell measures 3.163, 4.670 and 13.529 Å, with angles of 90.00, 90.00 and 90.00 degrees. The inequivalent atoms are Li at (0.000, 0.000, 0.000), Ta at (0.000, 0.000, 0.686) and Tc at (0.000, 0.000, 0.335).

Its spin magnetization is 0.00 μB/f.u.

=====

Stability, lowest: (Q)

=====

(P)
This record from Alexandria via LeMat-Bulk describes a geometry-optimized Li2TaTe4 structure. The functional is PBE.

The space group is C2/m (No. 12) and the conventional cell measures 14.291, 3.886 and 7.206 Å, with angles of 90.00, 115.28 and 90.00 degrees. The inequivalent atoms are Li at (0.232, 0.000, 0.193), Ta at (0.000, 0.500, 0.500), Te at (0.092, 0.500, 0.926) and Te at (0.138, 0.000, 0.486).

Its spin magnetization is 0.00 μB/f.u.

=====

(Q)
This record from Alexandria via LeMat-Bulk describes a geometry-optimized Li2TaTe4 structure. The functional is PBE.

The space group is I4/mmm (No. 139) and the conventional cell measures 5.503, 5.503 and 13.868 Å, with angles of 90.00, 90.00 and 90.00 degrees. The inequivalent atoms are Li at (0.000, 0.000, 0.109), Ta at (0.000, 0.000, 0.500), Te at (0.000, 0.000, 0.302) and Te at (0.000, 0.500, 0.000).

Its spin magnetization is 0.00 μB/f.u.

=====

Stability, lowest: (Q)

=====

(P)
This record from Alexandria via LeMat-Bulk describes a geometry-optimized LiTaTe4 structure. The functional is PBE.

The space group is P-1 (No. 2) and the conventional cell measures 6.354, 7.093 and 8.930 Å, with angles of 112.06, 109.32 and 93.47 degrees. The inequivalent atoms are Li at (0.038, 0.288, 0.075), Ta at (0.299, 0.049, 0.598), Te at (0.027, 0.187, 0.368), Te at (0.271, 0.408, 0.882), Te at (0.342, 0.681, 0.369) and Te at (0.389, 0.026, 0.118).

Its spin magnetization is 0.00 μB/f.u.

=====

(Q)
This record from Alexandria via LeMat-Bulk describes a geometry-optimized LiTaTe4 structure. The functional is PBE.

The space group is F-43m (No. 216) and the conventional cell measures 8.882, 8.882 and 8.882 Å, with angles of 90.00, 90.00 and 90.00 degrees. The inequivalent atoms are Li at (0.000, 0.000, 0.000), Ta at (0.250, 0.250, 0.750) and Te at (0.124, 0.124, 0.376).

Its spin magnetization is 3.44 μB/f.u.

=====

Stability, lowest: (Q)

=====

(P)
This record from Alexandria via LeMat-Bulk describes a geometry-optimized LiTaTe3 structure. The functional is PBE.

The space group is Pm-3m (No. 221) and the conventional cell measures 5.473, 5.473 and 5.473 Å, with angles of 90.00, 90.00 and 90.00 degrees. The inequivalent atoms are Li at (0.000, 0.000, 0.000), Ta at (0.500, 0.500, 0.500) and Te at (0.000, 0.500, 0.500).

Its spin magnetization is 0.00 μB/f.u.

=====

(Q)
This record from Alexandria via LeMat-Bulk describes a geometry-optimized LiTaTe3 structure. The functional is PBE.

The space group is P2_1/c (No. 14) and the conventional cell measures 10.055, 6.746 and 10.235 Å, with angles of 90.00, 117.69 and 90.00 degrees. The inequivalent atoms are Li at (0.080, 0.209, 0.405), Ta at (0.410, 0.239, 0.402), Te at (0.150, 0.098, 0.698), Te at (0.291, 0.601, 0.938) and Te at (0.428, 0.073, 0.142).

Its spin magnetization is 0.00 μB/f.u.

=====

Stability, lowest: (P)

=====

(P)
This record from Alexandria via LeMat-Bulk describes a geometry-optimized Li2TaTi structure. The functional is PBE.

The space group is I-42d (No. 122) and the conventional cell measures 7.210, 7.210 and 4.961 Å, with angles of 90.00, 90.00 and 90.00 degrees. The inequivalent atoms are Li at (0.240, 0.250, 0.125), Ta at (0.000, 0.000, 0.500) and Ti at (0.000, 0.000, 0.000).

Its spin magnetization is 0.00 μB/f.u.

=====

(Q)
This record from Alexandria via LeMat-Bulk describes a geometry-optimized Li2TaTi structure. The functional is PBE.

The space group is Fm-3m (No. 225) and the conventional cell measures 6.245, 6.245 and 6.245 Å, with angles of 90.00, 90.00 and 90.00 degrees. The inequivalent atoms are Li at (0.250, 0.250, 0.250), Ta at (0.000, 0.000, 0.000) and Ti at (0.000, 0.000, 0.500).

Its spin magnetization is 0.00 μB/f.u.

=====

Stability, lowest: (P)

=====

(P)
This record from Alexandria via LeMat-Bulk describes a geometry-optimized LiTaTi structure. The functional is PBE.

The space group is P4/nmm (No. 129, origin choice 2) and the conventional cell measures 3.248, 3.248 and 10.408 Å, with angles of 90.00, 90.00 and 90.00 degrees. The inequivalent atoms are Li at (0.250, 0.250, 0.080), Ta at (0.250, 0.250, 0.420) and Ti at (0.250, 0.250, 0.731).

Its spin magnetization is 0.00 μB/f.u.

=====

(Q)
This record from Alexandria via LeMat-Bulk describes a geometry-optimized LiTaTi structure. The functional is PBE.

The space group is P-1 (No. 2) and the conventional cell measures 4.572, 4.594 and 5.875 Å, with angles of 89.35, 89.96 and 60.36 degrees. The inequivalent atoms are Li at (0.166, 0.166, 0.068), Ta at (0.167, 0.168, 0.553) and Ti at (0.500, 0.499, 0.279).

Its spin magnetization is 0.00 μB/f.u.

=====

Stability, lowest: (Q)

=====

(P)
This record from Alexandria via LeMat-Bulk describes a geometry-optimized LiTa3Tl structure. The functional is PBE.

The space group is Pm-3m (No. 221) and the conventional cell measures 5.148, 5.148 and 5.148 Å, with angles of 90.00, 90.00 and 90.00 degrees. The inequivalent atoms are Li at (0.000, 0.000, 0.000), Ta at (0.000, 0.500, 0.500) and Tl at (0.500, 0.500, 0.500).

Its spin magnetization is 0.97 μB/f.u.

=====

(Q)
This record from Alexandria via LeMat-Bulk describes a geometry-optimized LiTa3Tl structure. The functional is PBE.

The space group is Pm-3m (No. 221) and the conventional cell measures 4.490, 4.490 and 4.490 Å, with angles of 90.00, 90.00 and 90.00 degrees. The inequivalent atoms are Li at (0.000, 0.000, 0.000), Ta at (0.000, 0.000, 0.500) and Tl at (0.500, 0.500, 0.500).

Its spin magnetization is 0.00 μB/f.u.

=====

Stability, lowest: (P)

=====

(P)
This record from Alexandria via LeMat-Bulk describes a geometry-optimized LiTaTl3 structure. The functional is PBE.

The space group is Pm-3m (No. 221) and the conventional cell measures 5.501, 5.501 and 5.501 Å, with angles of 90.00, 90.00 and 90.00 degrees. The inequivalent atoms are Li at (0.000, 0.000, 0.000), Ta at (0.500, 0.500, 0.500) and Tl at (0.000, 0.500, 0.500).

Its spin magnetization is 0.00 μB/f.u.

=====

(Q)
This record from Alexandria via LeMat-Bulk describes a geometry-optimized LiTaTl3 structure. The functional is PBE.

The space group is Pm-3m (No. 221) and the conventional cell measures 4.905, 4.905 and 4.905 Å, with angles of 90.00, 90.00 and 90.00 degrees. The inequivalent atoms are Li at (0.000, 0.000, 0.000), Ta at (0.500, 0.500, 0.500) and Tl at (0.000, 0.000, 0.500).

Its spin magnetization is 0.00 μB/f.u.

=====

Stability, lowest: (Q)

=====

(P)
This record from Alexandria via LeMat-Bulk describes a geometry-optimized Li2TaV structure. The functional is PBE.

The space group is I-42d (No. 122) and the conventional cell measures 7.108, 7.108 and 4.830 Å, with angles of 90.00, 90.00 and 90.00 degrees. The inequivalent atoms are Li at (0.233, 0.250, 0.125), Ta at (0.000, 0.000, 0.500) and V at (0.000, 0.000, 0.000).

Its spin magnetization is 0.68 μB/f.u.

=====

(Q)
This record from Alexandria via LeMat-Bulk describes a geometry-optimized Li2TaV structure. The functional is PBE.

The space group is Fm-3m (No. 225) and the conventional cell measures 6.081, 6.081 and 6.081 Å, with angles of 90.00, 90.00 and 90.00 degrees. The inequivalent atoms are Li at (0.250, 0.250, 0.250), Ta at (0.000, 0.000, 0.000) and V at (0.000, 0.000, 0.500).

Its spin magnetization is 0.00 μB/f.u.

=====

Stability, lowest: (P)

=====

(P)
This record from Alexandria via LeMat-Bulk describes a geometry-optimized Li2Ta2V structure. The functional is PBE.

The space group is P4/mbm (No. 127) and the conventional cell measures 7.315, 7.315 and 2.883 Å, with angles of 90.00, 90.00 and 90.00 degrees. The inequivalent atoms are Li at (0.162, 0.338, 0.000), Ta at (0.140, 0.640, 0.500) and V at (0.000, 0.000, 0.500).

Its spin magnetization is 0.01 μB/f.u.

=====

(Q)
This record from Alexandria via LeMat-Bulk describes a geometry-optimized Li2Ta2V structure. The functional is PBE.

The space group is I4/mmm (No. 139) and the conventional cell measures 3.151, 3.151 and 16.716 Å, with angles of 90.00, 90.00 and 90.00 degrees. The inequivalent atoms are Li at (0.000, 0.500, 0.250), Ta at (0.000, 0.000, 0.090) and V at (0.000, 0.000, 0.500).

Its spin magnetization is 0.00 μB/f.u.

=====

Stability, lowest: (P)

=====

(P)
This record from Alexandria via LeMat-Bulk describes a geometry-optimized LiTa3W structure. The functional is PBE.

The space group is Pm-3m (No. 221) and the conventional cell measures 4.388, 4.388 and 4.388 Å, with angles of 90.00, 90.00 and 90.00 degrees. The inequivalent atoms are Li at (0.000, 0.000, 0.000), Ta at (0.000, 0.000, 0.500) and W at (0.500, 0.500, 0.500).

Its spin magnetization is 0.00 μB/f.u.

=====

(Q)
This record from Alexandria via LeMat-Bulk describes a geometry-optimized LiTa3W structure. The functional is PBE.

The space group is Pm-3m (No. 221) and the conventional cell measures 4.918, 4.918 and 4.918 Å, with angles of 90.00, 90.00 and 90.00 degrees. The inequivalent atoms are Li at (0.000, 0.000, 0.000), Ta at (0.000, 0.500, 0.500) and W at (0.500, 0.500, 0.500).

Its spin magnetization is 0.00 μB/f.u.

=====

Stability, lowest: (Q)

=====

(P)
This record from Alexandria via LeMat-Bulk describes a geometry-optimized Li2YTa structure. The functional is PBE.

The space group is Cmmm (No. 65) and the conventional cell measures 3.103, 4.995 and 10.967 Å, with angles of 90.00, 90.00 and 90.00 degrees. The inequivalent atoms are Li at (0.000, 0.000, 0.233), Y at (0.000, 0.500, 0.500) and Ta at (0.000, 0.500, 0.000).

Its spin magnetization is 0.00 μB/f.u.

=====

(Q)
This record from Alexandria via LeMat-Bulk describes a geometry-optimized Li2YTa structure. The functional is PBE.

The space group is P2/m (No. 10) and the conventional cell measures 2.889, 5.370 and 5.470 Å, with angles of 90.00, 93.95 and 90.00 degrees. The inequivalent atoms are Li at (0.239, 0.000, 0.216), Y at (0.000, 0.500, 0.500) and Ta at (0.500, 0.500, 0.000).

Its spin magnetization is 0.00 μB/f.u.

=====

(R)
This record from Alexandria via LeMat-Bulk describes a geometry-optimized Li2YTa structure. The functional is PBE.

The space group is P4/mmm (No. 123) and the conventional cell measures 4.832, 4.832 and 3.266 Å, with angles of 90.00, 90.00 and 90.00 degrees. The inequivalent atoms are Li at (0.000, 0.500, 0.000), Y at (0.000, 0.000, 0.500) and Ta at (0.500, 0.500, 0.500).

Its spin magnetization is 0.00 μB/f.u.

=====

(S)
This record from Alexandria via LeMat-Bulk describes a geometry-optimized Li2YTa structure. The functional is PBE.

The space group is Immm (No. 71) and the conventional cell measures 3.047, 5.116 and 11.142 Å, with angles of 90.00, 90.00 and 90.00 degrees. The inequivalent atoms are Li at (0.000, 0.000, 0.233), Y at (0.000, 0.500, 0.000) and Ta at (0.000, 0.500, 0.500).

Its spin magnetization is 0.00 μB/f.u.

=====

Stability, lowest: (R)